1.
This record from the Alexandria database describes a geometry-optimized ScReBi2Pd structure. The functional is PBE-GGA.

Calculated values
E_form ... 1.008 eV/atom

a = 5.2621 Å, b = 5.2621 Å, c = 4.9368 Å
α = 90.00°, β = 90.00°, γ = 90.00°
Space group P4/mmm (No. 123)
Inequivalent atoms, fractional coordinates:
Sc 0.0000 0.0000 0.0000 [1 per cell]
Re 0.5000 0.5000 0.0000 [1 per cell]
Bi 0.0000 0.5000 0.5000 [2 per cell]
Pd 0.5000 0.5000 0.5000 [1 per cell]



2.
This record from the Alexandria database describes a geometry-optimized Re2BiPdSe structure. The functional is PBE-GGA.

Calculated values
Formation energy from raw total energies ... 2.433 eV per atom

a = 5.0530 Å, b = 5.0530 Å, c = 4.9417 Å
α = 90.00°, β = 90.00°, γ = 90.00°
Space group P4/mmm (No. 123)
Inequivalent atoms, fractional coordinates:
Re 0.0000 0.5000 0.0000 [2 per cell]
Bi 0.0000 0.0000 0.0000 [1 per cell]
Pd 0.0000 0.0000 0.5000 [1 per cell]
Se 0.5000 0.5000 0.5000 [1 per cell]



3.
This record from the Alexandria database describes a geometry-optimized Ta2ReBiPd structure. The functional is PBE-GGA.

Calculated values
E_form ... 2.647 eV/atom

a = 5.0985 Å, b = 5.0985 Å, c = 4.8868 Å
α = 90.00°, β = 90.00°, γ = 90.00°
Space group P4/mmm (No. 123)
Inequivalent atoms, fractional coordinates:
Ta 0.0000 0.5000 0.0000 [2 per cell]
Re 0.0000 0.0000 0.5000 [1 per cell]
Bi 0.0000 0.0000 0.0000 [1 per cell]
Pd 0.5000 0.5000 0.5000 [1 per cell]



4.
This record from the Alexandria database describes a geometry-optimized Re2TcBiPd structure. The functional is PBE-GGA.

Calculated values
E_form ... 2.469 eV/atom

a = 4.7396 Å, b = 4.7396 Å, c = 5.1125 Å
α = 90.00°, β = 90.00°, γ = 90.00°
Space group P4/mmm (No. 123)
Inequivalent atoms, fractional coordinates:
Re 0.0000 0.5000 0.0000 [2 per cell]
Tc 0.0000 0.0000 0.5000 [1 per cell]
Bi 0.5000 0.5000 0.5000 [1 per cell]
Pd 0.5000 0.5000 0.0000 [1 per cell]



5.
This record from the Alexandria database describes a geometry-optimized Re2BiTePd structure. The functional is PBE-GGA.

Calculated values
Formation energy from raw total energies ... 2.256 eV per atom

a = 4.8621 Å, b = 4.8621 Å, c = 5.7539 Å
α = 90.00°, β = 90.00°, γ = 90.00°
Space group P4/mmm (No. 123)
Inequivalent atoms, fractional coordinates:
Re 0.0000 0.5000 0.0000 [2 per cell]
Bi 0.0000 0.0000 0.5000 [1 per cell]
Te 0.0000 0.0000 0.0000 [1 per cell]
Pd 0.5000 0.5000 0.5000 [1 per cell]



6.
This record from the Alexandria database describes a geometry-optimized YReBi2Pd structure. The functional is PBE-GGA.

Calculated values
E_form ... 1.559 eV/atom

a = 5.7930 Å, b = 5.7930 Å, c = 5.0051 Å
α = 90.00°, β = 90.00°, γ = 90.00°
Space group P4/mmm (No. 123)
Inequivalent atoms, fractional coordinates:
Y 0.0000 0.0000 0.0000 [1 per cell]
Re 0.5000 0.5000 0.5000 [1 per cell]
Bi 0.0000 0.5000 0.0000 [2 per cell]
Pd 0.0000 0.0000 0.5000 [1 per cell]



7.
This record from the Alexandria database describes a geometry-optimized Zr2ReBiPd structure. The functional is PBE-GGA.

Calculated values
E_form ... 1.157 eV/atom

a = 5.0378 Å, b = 5.0378 Å, c = 4.9102 Å
α = 90.00°, β = 90.00°, γ = 90.00°
Space group P4/mmm (No. 123)
Inequivalent atoms, fractional coordinates:
Zr 0.0000 0.5000 0.0000 [2 per cell]
Re 0.0000 0.0000 0.5000 [1 per cell]
Bi 0.5000 0.5000 0.5000 [1 per cell]
Pd 0.5000 0.5000 0.0000 [1 per cell]



8.
This record from the Alexandria database describes a geometry-optimized Bi6PdRh3 structure. The functional is PBE-GGA.

Calculated values
E_form ... -0.134 eV/atom

a = 7.2662 Å, b = 6.6828 Å, c = 12.1416 Å
α = 90.00°, β = 125.73°, γ = 90.00°
Space group P2_1/c (No. 14)
Inequivalent atoms, fractional coordinates:
Bi 0.0793 0.0258 0.2557 [4 per cell]
Bi 0.2603 0.1435 0.5934 [4 per cell]
Bi 0.4196 0.6487 0.5848 [4 per cell]
Pd 0.0000 0.0000 0.0000 [2 per cell]
Rh 0.2882 0.6759 0.2560 [4 per cell]
Rh 0.5000 0.0000 0.5000 [2 per cell]



9.
This record from the Alexandria database describes a geometry-optimized BiPd2Rh2 structure. The functional is PBE-GGA.

Calculated values
E_form ... 0.250 eV/atom
Energy relative to the lowest polymorph listed for this composition ... 9.81 kJ per mole of atoms

a = 7.1732 Å, b = 7.1732 Å, c = 3.4437 Å
α = 90.00°, β = 90.00°, γ = 90.00°
Space group P4/mbm (No. 127)
Inequivalent atoms, fractional coordinates:
Bi 0.0000 0.0000 0.0000 [2 per cell]
Pd 0.1439 0.3561 0.0000 [4 per cell]
Rh 0.1439 0.6439 0.5000 [4 per cell]



10.
This record from the Alexandria database describes a geometry-optimized Bi3PdRh structure. The functional is PBE-GGA.

Calculated values
E_form ... -0.101 eV/atom
Energy relative to the lowest polymorph listed for this composition ... 0.00 kJ per mole of atoms

a = 3.4607 Å, b = 8.1158 Å, c = 9.7484 Å
α = 71.74°, β = 79.99°, γ = 89.59°
Space group P-1 (No. 2)
Inequivalent atoms, fractional coordinates:
Bi 0.0712 0.3891 0.3769 [2 per cell]
Bi 0.0926 0.9962 0.3257 [2 per cell]
Bi 0.2805 0.3371 0.9455 [2 per cell]
Pd 0.4166 0.3052 0.6563 [2 per cell]
Rh 0.3321 0.7118 0.8235 [2 per cell]



11.
This record from the Alexandria database describes a geometry-optimized Bi8Pd2Rh structure. The functional is PBE-GGA.

Calculated values
E_form ... 0.014 eV/atom

a = 11.8864 Å, b = 10.1075 Å, c = 5.6302 Å
α = 90.00°, β = 92.46°, γ = 90.00°
Space group C2/m (No. 12)
Inequivalent atoms, fractional coordinates:
Bi 0.0565 0.0000 0.2548 [4 per cell]
Bi 0.0765 0.2853 0.7778 [8 per cell]
Bi 0.1899 0.5000 0.2404 [4 per cell]
Pd 0.2201 0.5000 0.7423 [4 per cell]
Rh 0.0000 0.5000 0.5000 [2 per cell]



12.
This record from the Alexandria database describes a geometry-optimized Bi6PdRh2 structure. The functional is PBE-GGA.

Calculated values
E_form ... -0.131 eV/atom
Energy relative to the lowest polymorph listed for this composition ... 0.00 kJ per mole of atoms

a = 11.8583 Å, b = 11.8583 Å, c = 6.0068 Å
α = 90.00°, β = 90.00°, γ = 120.00°
Space group P-3m1 (No. 164)
Inequivalent atoms, fractional coordinates:
Bi 0.1000 0.5500 0.3016 [6 per cell]
Bi 0.1201 0.2402 0.2431 [6 per cell]
Bi 0.2115 0.4229 0.7397 [6 per cell]
Pd 0.0000 0.0000 0.0000 [1 per cell]
Pd 0.3333 0.6667 0.5283 [2 per cell]
Rh 0.0000 0.3574 0.0000 [6 per cell]



13.
This record from the Alexandria database describes a geometry-optimized Bi6PdRh structure. The functional is PBE-GGA.

Calculated values
E_form ... -0.145 eV/atom
Energy relative to the lowest polymorph listed for this composition ... 0.00 kJ per mole of atoms

a = 13.9184 Å, b = 9.8548 Å, c = 9.8675 Å
α = 90.00°, β = 134.83°, γ = 90.00°
Space group C2/m (No. 12)
Inequivalent atoms, fractional coordinates:
Bi 0.0028 0.1584 0.3412 [8 per cell]
Bi 0.1549 0.5000 0.8140 [4 per cell]
Bi 0.1582 0.3381 0.1617 [8 per cell]
Bi 0.1684 0.5000 0.5117 [4 per cell]
Pd 0.2500 0.2500 0.0000 [4 per cell]
Rh 0.2500 0.2500 0.5000 [4 per cell]



14.
This record from the Alexandria database describes a geometry-optimized Bi6PdRh2 structure. The functional is PBE-GGA.

Calculated values
E_form ... -0.102 eV/atom
Energy relative to the lowest polymorph listed for this composition ... 2.72 kJ per mole of atoms

a = 6.8140 Å, b = 6.8865 Å, c = 10.5005 Å
α = 90.00°, β = 110.08°, γ = 90.00°
Space group P2_1/c (No. 14)
Inequivalent atoms, fractional coordinates:
Bi 0.0947 0.0365 0.2820 [4 per cell]
Bi 0.2898 0.6850 0.0942 [4 per cell]
Bi 0.3943 0.1854 0.0842 [4 per cell]
Pd 0.0000 0.0000 0.0000 [2 per cell]
Rh 0.3106 0.1042 0.7971 [4 per cell]



15.
This record from the Alexandria database describes a geometry-optimized Bi4PdRh2 structure. The functional is PBE-GGA.

Calculated values
E_form ... -0.146 eV/atom
Energy relative to the lowest polymorph listed for this composition ... 3.82 kJ per mole of atoms

a = 8.1139 Å, b = 8.8247 Å, c = 9.4371 Å
α = 90.00°, β = 90.00°, γ = 90.00°
Space group Imm2 (No. 44)
Inequivalent atoms, fractional coordinates:
Bi 0.0000 0.1887 0.0000 [4 per cell]
Bi 0.0000 0.2954 0.4085 [4 per cell]
Bi 0.2120 0.0000 0.7181 [4 per cell]
Bi 0.2120 0.5000 0.8009 [4 per cell]
Pd 0.0000 0.0000 0.4822 [2 per cell]
Pd 0.0000 0.5000 0.0459 [2 per cell]
Rh 0.0000 0.2669 0.7016 [4 per cell]
Rh 0.2154 0.5000 0.5208 [4 per cell]



16.
This record from the Alexandria database describes a geometry-optimized Bi4Pd2Rh structure. The functional is PBE-GGA.

Calculated values
E_form ... 0.131 eV/atom
Energy relative to the lowest polymorph listed for this composition ... 35.73 kJ per mole of atoms

a = 5.2670 Å, b = 5.2670 Å, c = 13.7069 Å
α = 90.00°, β = 90.00°, γ = 90.00°
Space group I4/mmm (No. 139)
Inequivalent atoms, fractional coordinates:
Bi 0.0000 0.0000 0.2053 [4 per cell]
Bi 0.0000 0.5000 0.0000 [4 per cell]
Pd 0.0000 0.0000 0.3984 [4 per cell]
Rh 0.0000 0.0000 0.0000 [2 per cell]



17.
This record from the Alexandria database describes a geometry-optimized Bi4Pd2Rh structure. The functional is PBE-GGA.

Calculated values
E_form ... -0.239 eV/atom
Energy relative to the lowest polymorph listed for this composition ... 0.00 kJ per mole of atoms

a = 13.4238 Å, b = 4.1840 Å, c = 7.0834 Å
α = 90.00°, β = 120.45°, γ = 90.00°
Space group C2/m (No. 12)
Inequivalent atoms, fractional coordinates:
Bi 0.1116 0.0000 0.4566 [4 per cell]
Bi 0.1255 0.5000 0.9626 [4 per cell]
Pd 0.2454 0.5000 0.7264 [4 per cell]
Rh 0.0000 0.0000 0.0000 [2 per cell]



18.
This record from the Alexandria database describes a geometry-optimized Bi5Pd4Rh structure. The functional is PBE-GGA.

Calculated values
E_form ... -0.176 eV/atom

a = 9.2398 Å, b = 9.2398 Å, c = 5.2866 Å
α = 90.00°, β = 90.00°, γ = 90.00°
Space group I4/m (No. 87)
Inequivalent atoms, fractional coordinates:
Bi 0.0000 0.0000 0.0000 [2 per cell]
Bi 0.1354 0.2626 0.5000 [8 per cell]
Pd 0.0706 0.3627 0.0000 [8 per cell]
Rh 0.0000 0.0000 0.5000 [2 per cell]



19.
This record from the Alexandria database describes a geometry-optimized Bi6PdRh structure. The functional is PBE-GGA.

Calculated values
E_form ... -0.083 eV/atom
Energy relative to the lowest polymorph listed for this composition ... 5.95 kJ per mole of atoms

a = 6.7699 Å, b = 6.7772 Å, c = 6.7819 Å
α = 60.57°, β = 60.54°, γ = 60.49°
Space group P-1 (No. 2)
Inequivalent atoms, fractional coordinates:
Bi 0.0408 0.4495 0.2664 [2 per cell]
Bi 0.2342 0.9583 0.0512 [2 per cell]
Bi 0.4494 0.7665 0.5420 [2 per cell]
Pd 0.5000 0.5000 0.0000 [1 per cell]
Rh 0.0000 0.0000 0.5000 [1 per cell]



20.
This record from the Alexandria database describes a geometry-optimized Bi3PdRh structure. The functional is PBE-GGA.

Calculated values
E_form ... 0.425 eV/atom
Energy relative to the lowest polymorph listed for this composition ... 50.73 kJ per mole of atoms

a = 5.2468 Å, b = 5.2468 Å, c = 5.2468 Å
α = 90.00°, β = 90.00°, γ = 90.00°
Space group Pm-3m (No. 221)
Inequivalent atoms, fractional coordinates:
Bi 0.0000 0.0000 0.5000 [3 per cell]
Pd 0.5000 0.5000 0.5000 [1 per cell]
Rh 0.0000 0.0000 0.0000 [1 per cell]



21.
This record from the Alexandria database describes a geometry-optimized BiPdRh2 structure. The functional is PBE-GGA.

Calculated values
E_form ... -0.061 eV/atom

a = 4.1274 Å, b = 4.1274 Å, c = 3.9486 Å
α = 90.00°, β = 90.00°, γ = 90.00°
Space group P4/mmm (No. 123)
Inequivalent atoms, fractional coordinates:
Bi 0.0000 0.0000 0.0000 [1 per cell]
Pd 0.5000 0.5000 0.0000 [1 per cell]
Rh 0.0000 0.5000 0.5000 [2 per cell]



22.
This record from the Alexandria database describes a geometry-optimized Bi5Pd2Rh2 structure. The functional is PBE-GGA.

Calculated values
E_form ... -0.126 eV/atom

a = 16.0811 Å, b = 7.4051 Å, c = 7.1242 Å
α = 90.00°, β = 90.00°, γ = 90.00°
Space group Ima2 (No. 46)
Inequivalent atoms, fractional coordinates:
Bi 0.0726 0.1645 0.0000 [8 per cell]
Bi 0.1490 0.6903 0.1609 [8 per cell]
Bi 0.2500 0.1318 0.3068 [4 per cell]
Pd 0.0000 0.0000 0.6853 [4 per cell]
Pd 0.2500 0.0102 0.9285 [4 per cell]
Rh 0.0884 0.5114 0.8449 [8 per cell]



Total moment readings, ordered: 1.85, 4.45, 0.00, 1.08, 2.68, 4.03, 1.16, 0.00, 0.69, 0.00, 0.00, 0.00, 0.00, 0.00, 0.00, 0.00, 0.00, 0.00, 0.00, 0.00, 0.00, 0.00 μB/cell